A plane-wave DFT calculation with PBE-GGA was carried out for a relaxed structure of Nb4Se5S.

```
Nb4Se5S
1.0
-0.483 1.583 2.978
-6.377 -4.511 1.365
5.525 -5.490 1.865
Se S Nb
5 1 4
direct
0.832 0.138 0.665
0.819 0.636 0.637
0.168 0.862 0.335
0.500 0.500 0.000
0.181 0.364 0.363
0.500 0.000 0.000
0.346 0.881 0.692
0.979 0.750 0.958
0.654 0.119 0.308
0.021 0.250 0.042
```

Summary:
Its crystal system is monoclinic. For the total energy, the calculation gives -6.909 eV per atom. The formation energy without anion corrections comes out at -726 meV per atom. For the magnetic moment, the calculation gives 0.0 μB per cell.

=====

A plane-wave DFT calculation with PBE-GGA was carried out for a relaxed structure of Nb2SeS.

```
Nb2SeS
1.0
3.373 -1.417 -2.608
1.110 -4.353 -0.069
-0.867 -2.482 -3.643
Se Nb S
1 2 1
direct
0.500 0.500 0.500
0.750 0.750 0.750
0.250 0.250 0.250
0.000 0.000 0.000
```

Summary:
Its crystal system is cubic. For the total energy, the calculation gives -7.397 eV per atom. The polymorph energy (0 for the lowest one) comes out at 115 meV per atom. The formation energy without anion corrections comes out at -459 meV per atom. For the magnetic moment, the calculation gives 0.0 μB per cell.

=====

A plane-wave DFT calculation with PBE-GGA was carried out for a relaxed structure of NbSeS2.

```
NbSeS2
1.0
-0.729 2.957 1.403
-4.249 -0.362 -5.450
-5.272 -3.355 4.333
S Nb Se
4 2 2
direct
0.341 0.682 0.567
0.341 0.682 0.933
0.659 0.318 0.067
0.659 0.318 0.433
0.745 0.489 0.750
0.255 0.511 0.250
0.095 0.191 0.750
0.905 0.809 0.250
```

Summary:
Its crystal system is orthorhombic. For the total energy, the calculation gives -6.101 eV per atom. The formation energy without anion corrections comes out at -648 meV per atom. For the magnetic moment, the calculation gives 0.0 μB per cell.

=====

A plane-wave DFT calculation with PBE-GGA was carried out for a relaxed structure of Nb4Se3S4.

```
Nb4Se3S4
1.0
3.335 0.000 0.000
0.000 6.613 0.000
-1.668 -3.307 12.380
Se S Nb
3 4 4
direct
0.934 0.934 0.868
0.066 0.066 0.132
0.000 0.500 0.000
0.692 0.458 0.384
0.692 0.926 0.384
0.308 0.542 0.616
0.308 0.074 0.616
0.767 0.267 0.533
0.500 0.798 0.000
0.233 0.733 0.467
0.500 0.202 0.000
```

Summary:
Its crystal system is orthorhombic. For the total energy, the calculation gives -6.831 eV per atom. The formation energy without anion corrections comes out at -718 meV per atom. For the magnetic moment, the calculation gives 1.0 μB per cell.

=====

- Number 2 is which compound?
  Nb2SeS